Computed, not measured: a relaxed Dy2YEr2Tm2 crystal at the PBE-GGA level of DFT.

The structure in POSCAR format:
```
Dy2YEr2Tm2
1.0
-1.051 -3.214 0.790
7.234 0.852 5.459
-7.247 3.002 2.568
Tm Er Dy Y
2 2 2 1
direct
0.429 0.858 0.769
0.571 0.142 0.231
0.209 0.419 0.620
0.791 0.581 0.380
0.650 0.300 0.909
0.350 0.700 0.091
0.000 0.000 0.500
```

VASP energy (eV/cell): -32.67
Space group: C2/m, No. 12
Energy relative to the elements (kJ per mole of atoms): 15
ρ (Mg/m³): 8.1

***

Computed, not measured: a relaxed CaHoAg crystal at the PBE-GGA level of DFT.

The structure in POSCAR format:
```
CaHoAg
1.0
-3.538 2.914 -1.934
-4.343 -1.968 -1.420
-5.879 1.696 6.912
Ca Ho Ag
2 2 2
direct
0.125 0.125 0.626
0.875 0.875 0.374
0.372 0.372 0.884
0.628 0.628 0.116
0.257 0.257 0.228
0.743 0.743 0.772
```

VASP energy (eV/cell): -19.02
Space group: R-3m, No. 166
Energy relative to the elements (kJ per mole of atoms): -3
ρ (Mg/m³): 5.5

***

- energy relative to the elements of number 1 (Dy2YEr2Tm2)?
  15 kJ per mole of atoms

***

Please write out number 1 again, unchanged.
Computed, not measured: a relaxed Dy2YEr2Tm2 crystal at the PBE-GGA level of DFT.

The structure in POSCAR format:
```
Dy2YEr2Tm2
1.0
-1.051 -3.214 0.790
7.234 0.852 5.459
-7.247 3.002 2.568
Tm Er Dy Y
2 2 2 1
direct
0.429 0.858 0.769
0.571 0.142 0.231
0.209 0.419 0.620
0.791 0.581 0.380
0.650 0.300 0.909
0.350 0.700 0.091
0.000 0.000 0.500
```

VASP energy (eV/cell): -32.67
Space group: C2/m, No. 12
Energy relative to the elements (kJ per mole of atoms): 15
ρ (Mg/m³): 8.1

***

- Which of these has the highest ρ?
  Dy2YEr2Tm2

***

- What is the energy relative to the elements in the second record?
  -3 kJ per mole of atoms